# PrNpGe4 | the Alexandria database | PBE-GGA | relaxed
data_PrNpGe4
_cell_length_a 7.996
_cell_length_b 7.996
_cell_length_c 7.996
_cell_angle_alpha 90.00
_cell_angle_beta 90.00
_cell_angle_gamma 90.00
_symmetry_space_group_name_H-M 'F -4 3 m'
_symmetry_Int_Tables_number 216
_symmetry_space_group_name_Hall 'F -4 2 3'
loop_
_atom_site_label
_atom_site_fract_x
_atom_site_fract_y
_atom_site_fract_z
Pr1 0.000 0.000 0.000
Np1 0.250 0.250 0.250
Ge1 0.124 0.124 0.624
# Total energy in Ry/atom: -0.455
# Calculated formation energy in eV/f.u.: -0.977